No. 1
DFT (PBE) results for a relaxed CsBe2Al2 crystal.

Unit cell a=4.183 b=4.183 c=7.632 alpha=74.10 beta=74.10 gamma=90.00
Atoms (fractional coordinates):
Cs1 0.000 0.000 0.000
Be1 0.332 0.332 0.336
Be2 0.668 0.668 0.664
Al1 0.750 0.250 0.500
Al2 0.250 0.750 0.500

Output
energy of formation = 2.338 eV/f.u.

***

No. 2
DFT (PBE) results for a relaxed CuHg2IrN crystal.

Unit cell a=4.797 b=3.571 c=4.797 alpha=90.00 beta=90.00 gamma=90.00
Atoms (fractional coordinates):
Ir1 0.500 0.500 0.500
Hg1 0.000 0.000 0.500
Hg2 0.500 0.000 0.000
Cu1 0.000 0.500 0.000
N1 0.000 0.000 0.000

Output
formation energy from raw total energies = 954 meV per atom

***

No. 3
DFT (PBE) results for a relaxed Pm6Dy3TmTh2 crystal.

Unit cell a=6.223 b=6.223 c=11.964 alpha=94.99 beta=94.99 gamma=119.93
Atoms (fractional coordinates):
Pm1 0.917 0.582 0.752
Pm2 0.747 0.747 0.248
Pm3 0.083 0.418 0.248
Pm4 0.582 0.917 0.752
Pm5 0.253 0.253 0.752
Pm6 0.418 0.083 0.248
Dy1 0.167 0.833 0.500
Dy2 0.833 0.167 0.500
Dy3 0.500 0.500 0.500
Tm1 0.000 0.000 0.000
Th1 0.334 0.666 0.000
Th2 0.666 0.334 0.000

Output
energy of formation = 0.426 eV/f.u.

***

No. 4
DFT (PBE) results for a relaxed Tm3Mg2Ru crystal.

Unit cell a=4.939 b=7.752 c=7.897 alpha=90.00 beta=90.00 gamma=71.42
Atoms (fractional coordinates):
Tm1 0.825 0.350 0.792
Tm2 0.500 0.000 0.219
Tm3 0.175 0.650 0.208
Tm4 0.825 0.350 0.208
Tm5 0.175 0.650 0.792
Tm6 0.500 0.000 0.781
Mg1 0.000 0.000 0.000
Mg2 0.000 0.000 0.500
Mg3 0.333 0.334 0.500
Mg4 0.667 0.666 0.500
Ru1 0.340 0.321 0.000
Ru2 0.660 0.679 0.000

Output
energy of formation = -1.499 eV/f.u.

***

No. 5
DFT (PBE) results for a relaxed Y4TmTh2 crystal.

Unit cell a=6.816 b=6.816 c=6.816 alpha=104.14 beta=104.14 gamma=120.75
Atoms (fractional coordinates):
Y1 0.204 0.204 0.408
Y2 0.796 0.204 0.000
Y3 0.204 0.796 0.000
Y4 0.796 0.796 0.592
Tm1 0.500 0.500 0.000
Th1 0.250 0.750 0.500
Th2 0.750 0.250 0.500

Output
energy of formation = 2.067 eV/f.u.

***

No. 6
DFT (PBE) results for a relaxed Pm2CoSi5 crystal.

Unit cell a=5.756 b=5.756 c=6.062 alpha=118.35 beta=118.35 gamma=90.00
Atoms (fractional coordinates):
Pm1 0.272 0.772 0.543
Pm2 0.772 0.272 0.543
Co1 0.967 0.967 0.934
Si1 0.731 0.296 0.027
Si2 0.296 0.296 0.027
Si3 0.731 0.731 0.027
Si4 0.296 0.731 0.027
Si5 0.713 0.713 0.426

Output
formation energy from raw total energies = -459 meV per atom

***

No. 7
DFT (PBE) results for a relaxed CeY6Tm5 crystal.

Unit cell a=6.130 b=6.128 c=15.424 alpha=70.65 beta=48.50 gamma=59.99
Atoms (fractional coordinates):
Y1 0.583 0.332 0.250
Y2 0.085 0.332 0.750
Y3 0.749 0.000 0.749
Y4 0.251 0.000 0.251
Y5 0.915 0.668 0.250
Y6 0.417 0.668 0.750
Tm1 0.167 0.665 0.500
Tm2 0.333 0.333 0.000
Tm3 0.500 0.000 0.500
Tm4 0.667 0.667 0.000
Tm5 0.833 0.335 0.500
Ce1 0.000 0.000 0.000

Output
energy of formation = 0.543 eV/f.u.

***

We obtain total magnetization values of 0.0 0.0 0.0 0.0 0.0 0.0 1.2 μB/f.u. for the records listed above, in that order.